A plane-wave DFT calculation with GGA-PBE was carried out for a relaxed structure of AcTl3Hg2.

Geometry as extended XYZ:
```
12
Lattice="-4.9086 0.1192 2.4010 -1.1632 -1.4810 -8.5254 2.5913 -7.0071 5.6455" Properties=species:S:1:pos:R:3 pbc="T T T"
Hg -2.0977 -1.1738 1.9908
Hg -1.3829 -7.1951 -2.4697
Hg -4.0212 -1.1487 -1.9427
Hg 0.5406 -7.2202 1.4638
Tl -3.2429 -3.6430 -0.2278
Tl -5.1961 -3.6433 -4.2208
Tl 1.7156 -4.7256 3.7419
Tl -1.6745 -4.6184 3.0270
Tl -0.2376 -4.7259 -0.2511
Tl -1.8061 -3.7505 -3.5059
Ac -0.6638 -1.3120 -1.2918
Ac -2.8168 -7.0569 0.8129
```

Relative energy among the computed polymorphs   0.000 eV/atom
Energy of formation   -20 kJ per mole of atoms
Electronic total energy   -13.03 eV per formula unit